No. 1
TaTlSeN2 (GGA-PBEsol, relaxed); E_form (uncorrected) = 0.002 eV per atom; VASP energy = -36.07 eV/cell
1.0
4.035 0.000 0.000
0.000 4.035 0.000
0.000 0.000 5.363
N Tl Ta Se
2 1 1 1
direct
0.500 0.000 0.000
0.000 0.500 0.000
0.500 0.500 0.500
0.000 0.000 0.000
0.000 0.000 0.500



No. 2
YTaSeN2 (GGA-PBEsol, relaxed); E_form (uncorrected) = 1.061 eV per atom; VASP energy = -34.97 eV/cell
1.0
-0.324 2.834 3.046
0.535 -3.001 2.850
5.246 0.778 -0.166
N Ta Se Y
2 1 1 1
direct
0.500 0.000 0.000
0.000 0.500 0.000
0.500 0.500 0.500
0.000 0.000 0.500
0.000 0.000 0.000



No. 3
TcTeSeN2 (GGA-PBEsol, relaxed); E_form (uncorrected) = 0.581 eV per atom; VASP energy = -32.79 eV/cell
1.0
-1.185 2.876 -2.321
-2.274 -2.489 -1.923
-3.960 1.050 3.323
Tc N Se Te
1 2 1 1
direct
0.000 0.000 0.000
0.500 0.000 0.000
0.000 0.500 0.000
0.000 0.000 0.500
0.500 0.500 0.500



No. 4
ZrTcSeN2 (GGA-PBEsol, relaxed); E_form (uncorrected) = 0.065 eV per atom; VASP energy = -40.93 eV/cell
1.0
-3.059 1.755 1.503
1.239 -0.860 3.525
2.529 4.275 0.154
N Se Zr Tc
2 1 1 1
direct
0.500 0.000 0.000
0.000 0.500 0.000
0.000 0.000 0.500
0.500 0.500 0.500
0.000 0.000 0.000



no.,M_tot (μB per atom)
1,0.00
2,0.19
3,0.00
4,0.00